# K2CaOs

A relaxed K2CaOs crystal (PBE, Alexandria).

Lattice parameters (Å, degrees): 5.106 5.106 9.643 92.58 92.58 34.46
Positions (direct):
K1 0.000 0.000 0.000
K2 0.233 0.233 0.604
Ca1 0.469 0.469 0.342
Os1 0.735 0.735 0.249

## Properties
Energy of formation from the pure elements (eV per atom): 0.8930
Offset from the most stable computed form (eV per atom): 0.129
Electronic total energy (eV/atom): -2.964